(1)
Material: SrRe2Au
Method: DFT, PBE
State: relaxed

Unit cell a=4.6550 b=4.6550 c=10.2383 alpha=76.86 beta=76.86 gamma=90.00
Closest atoms and distances in Å follow each position.
Fractional coordinates of all 8 atoms:
Re: 0.8346 0.1250 0.2500  2 Re 2.36
Re: 0.9154 0.6250 0.2500  2 Re 2.36
Re: 0.3750 0.1654 0.7500  2 Re 2.36
Re: 0.8750 0.0846 0.7500  2 Re 2.36
Au: 0.0000 0.0000 0.0000  4 Re 2.70
Au: 0.7500 0.2500 0.5000  4 Re 2.70
Sr: 0.5000 0.5000 0.0000  4 Au 3.29, 8 Re 3.44-3.68
Sr: 0.2500 0.7500 0.5000  4 Au 3.29, 8 Re 3.44-3.68

Its magnetic moment is 0.0 μB per formula unit. The energy relative to the lowest polymorph listed for this composition comes out at 0.657 eV/atom. As for the crystal system: tetragonal. The calculated formation energy is 0.9525 eV/atom. The space group is No. 122.


(2)
Material: PrDyY5Sc2
Method: DFT, PBE
State: relaxed

Unit cell a=5.6412 b=11.1407 c=9.3865 alpha=90.00 beta=90.00 gamma=104.67
Closest atoms and distances in Å follow each position.
Fractional coordinates of all 18 atoms:
Pr: 0.8161 0.6321 0.5188  2 Sc 3.16-3.25, 5 Y 3.38-3.48, 2 Dy 3.52
Pr: 0.1839 0.3679 0.0188  2 Sc 3.16-3.25, 5 Y 3.38-3.48, 2 Dy 3.52
Dy: 0.5970 0.1941 0.9182  3 Y 3.08-3.41
Dy: 0.4030 0.8059 0.4182  3 Y 3.08-3.41
Y: 0.3896 0.7791 0.0459  4 Sc 3.22-3.50, 3 Y 3.28-3.59, 1 Dy 3.51
Y: 0.7351 0.4702 0.8356  1 Dy 3.08, 1 Sc 3.27, 2 Y 3.41
Y: 0.4689 0.9378 0.7482  2 Dy 3.19-3.41, 2 Y 3.28-3.49, 2 Sc 3.41
Y: 0.3074 0.6147 0.7162  2 Pr 3.38, 5 Y 3.41-3.69, 3 Sc 3.45-3.68, 1 Dy 3.47
Y: 0.9915 0.9829 0.5161  1 Sc 3.18, 2 Dy 3.53
Y: 0.6104 0.2209 0.5459  4 Sc 3.22-3.50, 3 Y 3.28-3.59, 1 Dy 3.51
Y: 0.2649 0.5298 0.3356  1 Dy 3.08, 1 Sc 3.27, 2 Y 3.41
Y: 0.5311 0.0622 0.2482  2 Dy 3.19-3.41, 2 Y 3.28-3.49, 2 Sc 3.41
Y: 0.6926 0.3853 0.2162  2 Pr 3.38, 5 Y 3.41-3.69, 3 Sc 3.45-3.68, 1 Dy 3.47
Y: 0.0085 0.0171 0.0161  1 Sc 3.18, 2 Dy 3.53
Sc: 0.8868 0.7737 0.8248  8 Y 3.18-3.50, 1 Pr 3.25, 1 Sc 3.56
Sc: 0.1369 0.2739 0.7001  1 Pr 3.16, 2 Y 3.22
Sc: 0.1132 0.2263 0.3249  8 Y 3.18-3.50, 1 Pr 3.25, 1 Sc 3.56
Sc: 0.8631 0.7261 0.2001  1 Pr 3.16, 2 Y 3.22

Its magnetic moment is 0.0 μB per formula unit. As for the crystal system: orthorhombic. The calculated formation energy is 0.1684 eV/atom. The space group is No. 36.


(3)
Material: ZrPO2
Method: DFT, PBE
State: relaxed

Unit cell a=6.4220 b=6.4220 c=6.4220 alpha=29.43 beta=29.43 gamma=29.43
Closest atoms and distances in Å follow each position.
Fractional coordinates of all 4 atoms:
P: 0.5000 0.5000 0.5000  6 O 2.12
O: 0.8862 0.8862 0.8862  1 Zr 2.10, 3 P 2.12
O: 0.1138 0.1138 0.1138  1 Zr 2.10, 3 P 2.12
Zr: 0.0000 0.0000 0.0000  2 O 2.10

Its magnetic moment is 0.0 μB per formula unit. The raw formation energy is -0.74 eV per atom. As for the crystal system: trigonal. The space group is No. 166.


(4)
Material: CsUGaSe4
Method: DFT, PBE
State: relaxed

Unit cell a=6.6976 b=7.0964 c=9.9890 alpha=90.00 beta=109.88 gamma=90.00
Closest atoms and distances in Å follow each position.
Fractional coordinates of all 14 atoms:
Cs: 0.7532 0.7500 0.9468  6 Se 3.48-3.87
Cs: 0.2468 0.2500 0.0532  6 Se 3.48-3.87
U: 0.7769 0.7500 0.4502  6 Se 2.81-2.96
U: 0.2231 0.2500 0.5498  6 Se 2.81-2.96
Ga: 0.2254 0.7500 0.3426  4 Se 2.39-2.45
Ga: 0.7746 0.2500 0.6574  4 Se 2.39-2.45
Se: 0.0259 0.5118 0.6931  1 Ga 2.45
Se: 0.9741 0.0118 0.3069  1 Ga 2.45
Se: 0.9741 0.4882 0.3069  1 Ga 2.45
Se: 0.0259 0.9882 0.6931  1 Ga 2.45
Se: 0.4259 0.7500 0.1852  1 Ga 2.39
Se: 0.5741 0.2500 0.8148  1 Ga 2.39
Se: 0.4679 0.7500 0.5829  1 Ga 2.40
Se: 0.5321 0.2500 0.4171  1 Ga 2.40

Its magnetic moment is 2.0 μB per formula unit. The raw formation energy is -1.02 eV per atom. As for the crystal system: monoclinic. The space group is No. 11.


(5)
Material: LaSm4Ho3
Method: DFT, PBE
State: relaxed

Unit cell a=3.4760 b=11.7566 c=8.9460 alpha=131.07 beta=101.20 gamma=90.00
Closest atoms and distances in Å follow each position.
Fractional coordinates of all 8 atoms:
Ho: 0.0000 0.5000 0.0000  6 Ho 3.48-3.78, 8 Sm 3.83
Ho: 0.2420 0.2421 0.4841  6 Sm 3.35-3.70, 2 Ho 3.48, 2 La 3.60
Ho: 0.7580 0.7579 0.5159  6 Sm 3.35-3.70, 2 Ho 3.48, 2 La 3.60
Sm: 0.3661 0.6156 0.7322  3 Ho 3.35-3.70, 1 La 3.42, 5 Sm 3.48-3.49
Sm: 0.6339 0.3844 0.2678  3 Ho 3.35-3.70, 1 La 3.42, 5 Sm 3.48-3.49
Sm: 0.6339 0.8834 0.2679  3 Ho 3.35-3.70, 1 La 3.42, 5 Sm 3.48-3.49
Sm: 0.3661 0.1166 0.7321  3 Ho 3.35-3.70, 1 La 3.42, 5 Sm 3.48-3.49
La: 0.5000 0.0000 0.0000  4 Sm 3.42, 2 La 3.48, 4 Ho 3.60

Its magnetic moment is 0.0 μB per formula unit. The energy relative to the lowest polymorph listed for this composition comes out at 0.105 eV/atom. As for the crystal system: orthorhombic. The calculated formation energy is 0.1325 eV/atom. The space group is No. 71.


(6)
Material: Cd2CuOs
Method: DFT, PBE
State: relaxed

Unit cell a=4.5666 b=4.5666 c=4.5666 alpha=60.00 beta=60.00 gamma=60.00
Closest atoms and distances in Å follow each position.
Fractional coordinates of all 4 atoms:
Os: 0.5000 0.5000 0.5000  8 Cd 2.80
Cu: 0.0000 0.0000 0.0000  8 Cd 2.80
Cd: 0.2500 0.2500 0.2500  4 Os 2.80, 4 Cu 2.80
Cd: 0.7500 0.7500 0.7500  4 Os 2.80, 4 Cu 2.80

Its magnetic moment is 0.0 μB per formula unit. The energy relative to the lowest polymorph listed for this composition comes out at 0.196 eV/atom. As for the crystal system: cubic. The calculated formation energy is 0.5910 eV/atom. The space group is No. 225.